DFT (PBEsol) results for a relaxed structure of CrRuPt.

Cell and atoms, written as POSCAR:
```
CrRuPt
1.0
2.662 0.000 0.000
-1.331 2.305 0.000
0.000 0.000 6.492
Cr Pt Ru
1 1 1
Cartesian
0.000 0.000 0.067
0.000 1.537 4.403
1.331 0.768 2.023
```

Computed properties:
formation energy	-0.005	eV per atom
space-group type	No. 156
final energy	-27.39	eV per cell
crystal system	trigonal

=====

DFT (PBEsol) results for a relaxed structure of ZnReSi2.

Cell and atoms, written as POSCAR:
```
ZnReSi2
1.0
2.807 -0.011 0.000
-1.074 2.593 0.000
0.000 0.000 8.038
Re Zn Si
1 1 2
Cartesian
0.866 1.291 0.000
0.866 1.291 4.019
0.000 0.000 1.898
0.000 0.000 6.140
```

Computed properties:
space-group type	No. 65
final energy	-25.33	eV per cell
crystal system	orthorhombic
ΔE_f (raw)	0.270	eV per atom

=====

DFT (PBEsol) results for a relaxed structure of CuPbSe2.

Cell and atoms, written as POSCAR:
```
CuPbSe2
1.0
3.826 0.000 0.000
0.000 4.776 0.008
0.000 -1.018 4.666
Se Pb Cu
2 1 1
Cartesian
0.000 2.388 0.004
0.000 -0.509 2.333
1.913 1.879 2.337
1.913 0.000 0.000
```

Computed properties:
space-group type	No. 65
final energy	-15.37	eV per cell
crystal system	orthorhombic
ΔE_f (raw)	0.166	eV per atom